(1)
A geometry-optimized TlGeIr2 structure, computed with PBE.

Unit cell a=7.1779 b=7.1779 c=5.7312 alpha=90.00 beta=90.00 gamma=90.00
Space group I-42d (No. 122)
Asymmetric unit:
Tl1 0.0000 0.0000 0.0000 [4 per cell]
Ge1 0.0000 0.0000 0.5000 [4 per cell]
Ir1 0.1982 0.7500 0.6250 [8 per cell]

Output
* D(E_F): 11.85 states/eV per cell
* calculated density: 14.879 Mg/m³
* M_tot: 0.000 μB/atom
* formation energy: 0.3979 eV/atom
* V: 295 Å³/cell
* excess energy over the best structure of this formula in the dataset: 0 meV/atom



(2)
A geometry-optimized CoAuBr2 structure, computed with PBE.

Unit cell a=3.4706 b=4.4411 c=13.4887 alpha=90.00 beta=90.00 gamma=90.00
Space group Immm (No. 71)
Asymmetric unit:
Co1 0.0000 0.0000 0.0000 [2 per cell]
Au1 0.0000 0.0000 0.5000 [2 per cell]
Br1 0.0000 0.5000 0.3651 [4 per cell]

Output
* D(E_F): 11.67 states/eV per cell
* calculated density: 6.640 Mg/m³
* M_tot: 0.503 μB/atom
* V: 208 Å³/cell
* excess energy over the best structure of this formula in the dataset: 97 meV/atom